1.
Density functional theory data (meta-GGA SCAN) for a crystal of CuPt2Au relaxed with PBEsol.

abc: 2.749 4.621 9.265
angles: 90.00 90.00 90.00
Space group Immm (No. 71)
Unique sites:
Cu  0.000  0.000  0.000 [2 per cell]
Pt  0.000  0.500  0.263 [4 per cell]
Au  0.000  0.000  0.500 [2 per cell]

Results
Polymorph energy (0 for the lowest one) (meV/atom): 14

2.
Density functional theory data (meta-GGA SCAN) for a crystal of Cu2PtAu relaxed with PBEsol.

abc: 2.851 2.851 6.709
angles: 90.00 90.00 90.00
Space group P4mm (No. 99)
Unique sites:
Cu  0.000  0.000  0.000 [1 per cell]
Cu  0.500  0.500  0.208 [1 per cell]
Pt  0.000  0.000  0.446 [1 per cell]
Au  0.500  0.500  0.745 [1 per cell]

Results
Final energy (eV per atom): -42.489

3.
Density functional theory data (meta-GGA SCAN) for a crystal of CuPt2Au relaxed with PBEsol.

abc: 2.751 4.631 4.660
angles: 90.00 90.00 90.00
Space group Pmmm (No. 47)
Unique sites:
Cu  0.000  0.000  0.000 [1 per cell]
Pt  0.000  0.500  0.500 [1 per cell]
Pt  0.500  0.000  0.500 [1 per cell]
Au  0.500  0.500  0.000 [1 per cell]

Results
Polymorph energy (0 for the lowest one) (meV/atom): 32

4.
Density functional theory data (meta-GGA SCAN) for a crystal of Cu2PtAu relaxed with PBEsol.

abc: 2.873 4.325 8.789
angles: 90.00 90.00 90.00
Space group Imm2 (No. 44)
Unique sites:
Cu  0.000  0.000  0.000 [2 per cell]
Cu  0.000  0.500  0.272 [2 per cell]
Pt  0.000  0.500  0.749 [2 per cell]
Au  0.000  0.000  0.521 [2 per cell]

Results
Final energy (eV per atom): -42.508

5.
Density functional theory data (meta-GGA SCAN) for a crystal of Cu2PtAu relaxed with PBEsol.

abc: 2.785 2.785 7.049
angles: 90.00 90.00 90.00
Space group P4/mmm (No. 123)
Unique sites:
Cu  0.000  0.000  0.242 [2 per cell]
Pt  0.500  0.500  0.000 [1 per cell]
Au  0.500  0.500  0.500 [1 per cell]

Results
Final energy (eV per atom): -42.585

6.
Density functional theory data (meta-GGA SCAN) for a crystal of CuPt2Au relaxed with PBEsol.

abc: 2.747 4.684 9.247
angles: 90.00 90.00 90.00
Space group Cmmm (No. 65)
Unique sites:
Cu  0.000  0.000  0.000 [2 per cell]
Pt  0.000  0.500  0.232 [4 per cell]
Au  0.000  0.000  0.500 [2 per cell]

Results
Polymorph energy (0 for the lowest one) (meV/atom): 37

7.
Density functional theory data (meta-GGA SCAN) for a crystal of Cu2PtAu relaxed with PBEsol.

abc: 5.577 6.985 2.803
angles: 90.00 90.00 90.00
Space group Cmmm (No. 65)
Unique sites:
Cu  0.250  0.250  0.000 [4 per cell]
Pt  0.000  0.000  0.500 [2 per cell]
Au  0.000  0.500  0.500 [2 per cell]

Results
Final energy (eV per atom): -42.583

8.
Density functional theory data (meta-GGA SCAN) for a crystal of Cu2PtAu relaxed with PBEsol.

abc: 2.805 3.490 5.586
angles: 90.00 90.00 90.00
Space group Pmmm (No. 47)
Unique sites:
Cu  0.000  0.000  0.241 [2 per cell]
Pt  0.500  0.500  0.000 [1 per cell]
Au  0.500  0.500  0.500 [1 per cell]

Results
Final energy (eV per atom): -42.579

9.
Density functional theory data (meta-GGA SCAN) for a crystal of CuPtAu relaxed with PBEsol.

abc: 2.794 2.794 11.078
angles: 90.00 90.00 90.00
Space group I4mm (No. 107)
Unique sites:
Cu  0.000  0.000  0.000 [2 per cell]
Pt  0.000  0.000  0.652 [2 per cell]
Au  0.000  0.000  0.338 [2 per cell]

Results
Polymorph energy (0 for the lowest one) (meV/atom): 0

10.
Density functional theory data (meta-GGA SCAN) for a crystal of Cu2PtAu relaxed with PBEsol.

abc: 2.689 4.119 5.134
angles: 90.00 104.99 90.00
Space group Pm (No. 6)
Unique sites:
Cu  0.000  0.000  0.000 [1 per cell]
Cu  0.130  0.500  0.269 [1 per cell]
Pt  0.730  0.000  0.467 [1 per cell]
Au  0.394  0.500  0.790 [1 per cell]

Results
Final energy (eV per atom): -42.508

11.
Density functional theory data (meta-GGA SCAN) for a crystal of CuPt2Au relaxed with PBEsol.

abc: 2.770 2.770 7.598
angles: 90.00 90.00 90.00
Space group P4mm (No. 99)
Unique sites:
Cu  0.000  0.000  0.000 [1 per cell]
Pt  0.000  0.000  0.487 [1 per cell]
Pt  0.500  0.500  0.227 [1 per cell]
Au  0.500  0.500  0.760 [1 per cell]

Results
Polymorph energy (0 for the lowest one) (meV/atom): 33

12.
Density functional theory data (meta-GGA SCAN) for a crystal of CuPtAu relaxed with PBEsol.

abc: 5.959 5.959 5.959
angles: 90.00 90.00 90.00
Space group F-43m (No. 216)
Unique sites:
Cu  0.000  0.000  0.000 [4 per cell]
Pt  0.000  0.000  0.500 [4 per cell]
Au  0.250  0.250  0.750 [4 per cell]

Results
Polymorph energy (0 for the lowest one) (meV/atom): 475

| no. | volume (Å³ per cell) |
| --- | --- |
| 1 | 117.72 |
| 2 | 54.51 |
| 3 | 59.37 |
| 4 | 109.21 |
| 5 | 54.69 |
| 6 | 118.97 |
| 7 | 109.18 |
| 8 | 54.67 |
| 9 | 86.48 |
| 10 | 54.93 |
| 11 | 58.29 |
| 12 | 211.62 |